# 1
Material: LuMgAsOs
Method: DFT, PBE
State: relaxed

Calculated values
E_tot	-5.5270	eV per atom
calculated volume	70	Å³/f.u.
offset from the most stable computed form	0.076	eV/atom
crystal system	cubic

a = 4.6277 Å, b = 4.6277 Å, c = 4.6277 Å
α = 60.00°, β = 60.00°, γ = 60.00°
Fractional positions:
1 Lu 0.0000 0.0000 0.0000
2 Mg 0.7500 0.7500 0.7500
3 As 0.5000 0.5000 0.5000
4 Os 0.2500 0.2500 0.2500

=====

# 2
Material: YTmNp
Method: DFT, PBE
State: relaxed

Calculated values
E_tot	-6.7443	eV per atom
calculated volume	104	Å³/f.u.
offset from the most stable computed form	0.000	eV/atom
crystal system	cubic
formation energy	1159	meV/atom

a = 5.2843 Å, b = 5.2843 Å, c = 5.2843 Å
α = 60.00°, β = 60.00°, γ = 60.00°
Fractional positions:
1 Y 0.0000 0.0000 0.0000
2 Tm 0.7500 0.7500 0.7500
3 Np 0.5000 0.5000 0.5000

=====

# 3
Material: HfHgNO
Method: DFT, PBE
State: relaxed

Calculated values
E_tot	-6.9882	eV per atom
calculated volume	58	Å³/f.u.
offset from the most stable computed form	0.134	eV/atom
crystal system	orthorhombic

a = 5.3265 Å, b = 8.2109 Å, c = 5.3371 Å
α = 90.00°, β = 90.00°, γ = 90.00°
Fractional positions:
1 Hf 0.0006 0.1303 0.0000
2 Hf 0.4994 0.1303 0.5000
3 Hf 0.5006 0.8697 0.0000
4 Hf 0.9994 0.8697 0.5000
5 Hg 0.0014 0.3531 0.5086
6 Hg 0.4986 0.3531 0.0086
7 Hg 0.5014 0.6469 0.5086
8 Hg 0.9986 0.6469 0.0086
9 N 0.0031 0.6340 0.5155
10 N 0.4969 0.6340 0.0155
11 N 0.5031 0.3660 0.5155
12 N 0.9969 0.3660 0.0155
13 O 0.2499 0.9993 0.2494
14 O 0.2501 0.9993 0.7494
15 O 0.7499 0.0007 0.2494
16 O 0.7501 0.0007 0.7494

=====

# 4
Material: NaHf
Method: DFT, PBE
State: relaxed

Calculated values
E_tot	-2.9038	eV per atom
calculated volume	69	Å³/f.u.
offset from the most stable computed form	2.192	eV/atom
crystal system	cubic

a = 4.6086 Å, b = 4.6086 Å, c = 4.6086 Å
α = 60.00°, β = 60.00°, γ = 60.00°
Fractional positions:
1 Na 0.0000 0.0000 0.0000
2 Hf 0.2500 0.2500 0.2500

=====

# 5
Material: NbReTe
Method: DFT, PBE
State: relaxed

Calculated values
E_tot	-8.4418	eV per atom
calculated volume	61	Å³/f.u.
offset from the most stable computed form	0.000	eV/atom
crystal system	cubic

a = 4.4295 Å, b = 4.4295 Å, c = 4.4295 Å
α = 60.00°, β = 60.00°, γ = 60.00°
Fractional positions:
1 Nb 0.0000 0.0000 0.0000
2 Re 0.2500 0.2500 0.2500
3 Te 0.5000 0.5000 0.5000

=====

# 6
Material: Ba2Ni
Method: DFT, PBE
State: relaxed

Calculated values
E_tot	-3.1038	eV per atom
calculated volume	127	Å³/f.u.
crystal system	tetragonal

a = 7.4226 Å, b = 7.4226 Å, c = 4.6077 Å
α = 90.00°, β = 90.00°, γ = 90.00°
Fractional positions:
1 Ba 0.2011 0.2011 0.0000
2 Ba 0.2989 0.7011 0.5000
3 Ba 0.7011 0.2989 0.5000
4 Ba 0.7989 0.7989 0.0000
5 Ni 0.0000 0.0000 0.5000
6 Ni 0.5000 0.5000 0.0000